Version A
An optimized crystal structure of LiZr2Re, computed with GGA-PBE.

Unit cell a=4.3642 b=4.3642 c=8.8632 alpha=90.00 beta=90.00 gamma=120.00
Fractional coordinates of all 8 atoms:
Li: 0.3333 0.6667 0.2500
Li: 0.6667 0.3333 0.7500
Zr: 0.3333 0.6667 0.5898
Zr: 0.3333 0.6667 0.9102
Zr: 0.6667 0.3333 0.0898
Zr: 0.6667 0.3333 0.4102
Re: 0.0000 0.0000 0.2500
Re: 0.0000 0.0000 0.7500



Version B
An optimized crystal structure of LiZr2Re, computed with GGA-PBE.

Unit cell a=4.8668 b=4.8668 c=7.7428 alpha=90.00 beta=90.00 gamma=120.00
Fractional coordinates of all 8 atoms:
Li: 0.0000 0.0000 0.0000
Li: 0.0000 0.0000 0.5000
Zr: 0.3333 0.6667 0.0848
Zr: 0.3333 0.6667 0.4152
Zr: 0.6667 0.3333 0.5848
Zr: 0.6667 0.3333 0.9152
Re: 0.3333 0.6667 0.7500
Re: 0.6667 0.3333 0.2500



Version C
An optimized crystal structure of LiZr2Re, computed with GGA-PBE.

Unit cell a=4.6771 b=4.6771 c=4.6771 alpha=60.00 beta=60.00 gamma=60.00
Fractional coordinates of all 4 atoms:
Li: 0.0000 0.0000 0.0000
Zr: 0.2500 0.2500 0.2500
Zr: 0.7500 0.7500 0.7500
Re: 0.5000 0.5000 0.5000



Version D
An optimized crystal structure of LiZr2Re, computed with GGA-PBE.

Unit cell a=5.2897 b=5.2897 c=5.1564 alpha=90.00 beta=90.00 gamma=82.56
Fractional coordinates of all 8 atoms:
Li: 0.1672 0.8328 0.7500
Li: 0.8328 0.1672 0.2500
Zr: 0.0515 0.3503 0.7500
Zr: 0.3503 0.0515 0.2500
Zr: 0.6497 0.9485 0.7500
Zr: 0.9485 0.6497 0.2500
Re: 0.5000 0.5000 0.0000
Re: 0.5000 0.5000 0.5000



Q: Which of them is the most stable? A: version C.



Version A
An optimized crystal structure of SrLiTbS3, computed with GGA-PBE.

Unit cell a=6.8137 b=6.8137 c=10.3267 alpha=90.00 beta=90.00 gamma=145.77
Fractional coordinates of all 12 atoms:
Sr: 0.2499 0.7501 0.7500
Sr: 0.7501 0.2499 0.2500
Li: 0.0228 0.9772 0.2500
Li: 0.9772 0.0228 0.7500
Tb: 0.5000 0.5000 0.0000
Tb: 0.5000 0.5000 0.5000
S: 0.1342 0.8658 0.0693
S: 0.1342 0.8658 0.4307
S: 0.4223 0.5777 0.2500
S: 0.5777 0.4223 0.7500
S: 0.8658 0.1342 0.5693
S: 0.8658 0.1342 0.9307



Version B
An optimized crystal structure of SrLiTbS3, computed with GGA-PBE.

Unit cell a=8.7315 b=8.7315 c=8.3250 alpha=103.96 beta=103.96 gamma=26.34
Fractional coordinates of all 12 atoms:
Sr: 0.1332 0.1332 0.0640
Sr: 0.8668 0.8668 0.9360
Li: 0.4969 0.4969 0.2987
Li: 0.5031 0.5031 0.7013
Tb: 0.1657 0.1657 0.5874
Tb: 0.8343 0.8343 0.4126
S: 0.0000 0.0000 0.5000
S: 0.3257 0.3257 0.1853
S: 0.3331 0.3331 0.6429
S: 0.5000 0.5000 0.0000
S: 0.6669 0.6669 0.3571
S: 0.6743 0.6743 0.8147



Q: Which of them is the most stable? A: version B.



Version A
An optimized crystal structure of SrLiTmS3, computed with GGA-PBE.

Unit cell a=8.6307 b=8.6307 c=8.2756 alpha=103.88 beta=103.88 gamma=26.34
Fractional coordinates of all 12 atoms:
Sr: 0.1341 0.1341 0.0658
Sr: 0.8659 0.8659 0.9342
Li: 0.4923 0.4923 0.2980
Li: 0.5077 0.5077 0.7020
Tm: 0.1651 0.1651 0.5847
Tm: 0.8349 0.8349 0.4153
S: 0.0000 0.0000 0.5000
S: 0.3266 0.3266 0.1909
S: 0.3313 0.3313 0.6398
S: 0.5000 0.5000 0.0000
S: 0.6687 0.6687 0.3602
S: 0.6734 0.6734 0.8091



Version B
An optimized crystal structure of SrLiTmS3, computed with GGA-PBE.

Unit cell a=6.7848 b=6.7848 c=10.1189 alpha=90.00 beta=90.00 gamma=145.95
Fractional coordinates of all 12 atoms:
Sr: 0.2490 0.7510 0.7500
Sr: 0.7510 0.2490 0.2500
Li: 0.0240 0.9760 0.2500
Li: 0.9760 0.0240 0.7500
Tm: 0.5000 0.5000 0.0000
Tm: 0.5000 0.5000 0.5000
S: 0.1337 0.8663 0.0648
S: 0.1337 0.8663 0.4352
S: 0.4235 0.5765 0.2500
S: 0.5765 0.4235 0.7500
S: 0.8663 0.1337 0.5648
S: 0.8663 0.1337 0.9352



Q: Which of them is the most stable? A: version A.



Version A
An optimized crystal structure of LiTbZnS3, computed with GGA-PBE.

Unit cell a=7.4352 b=3.8796 c=9.6707 alpha=90.00 beta=102.05 gamma=90.00
Fractional coordinates of all 12 atoms:
Li: 0.1671 0.2500 0.1226
Li: 0.8329 0.7500 0.8774
Tb: 0.3346 0.7500 0.8452
Tb: 0.6654 0.2500 0.1548
Zn: 0.0704 0.2500 0.6071
Zn: 0.9296 0.7500 0.3929
S: 0.0687 0.2500 0.8489
S: 0.2268 0.7500 0.5492
S: 0.4065 0.7500 0.1374
S: 0.5935 0.2500 0.8626
S: 0.7732 0.2500 0.4508
S: 0.9313 0.7500 0.1511



Version B
An optimized crystal structure of LiTbZnS3, computed with GGA-PBE.

Unit cell a=6.4233 b=6.4233 c=10.6196 alpha=90.00 beta=90.00 gamma=145.17
Fractional coordinates of all 12 atoms:
Li: 0.2365 0.7635 0.7500
Li: 0.7635 0.2365 0.2500
Tb: 0.0000 0.0000 0.0000
Tb: 0.0000 0.0000 0.5000
Zn: 0.4744 0.5256 0.2500
Zn: 0.5256 0.4744 0.7500
S: 0.0908 0.9092 0.2500
S: 0.3584 0.6416 0.0791
S: 0.3584 0.6416 0.4209
S: 0.6416 0.3584 0.5791
S: 0.6416 0.3584 0.9209
S: 0.9092 0.0908 0.7500



Q: Which of them is the most stable? A: version A.



Version A
An optimized crystal structure of LiZrTlS3, computed with GGA-PBE.

Unit cell a=7.2319 b=7.2319 c=10.0781 alpha=90.00 beta=90.00 gamma=149.70
Fractional coordinates of all 12 atoms:
Li: 0.0487 0.9513 0.7500
Li: 0.9513 0.0487 0.2500
Zr: 0.5000 0.5000 0.0000
Zr: 0.5000 0.5000 0.5000
Tl: 0.2302 0.7698 0.2500
Tl: 0.7698 0.2302 0.7500
S: 0.1231 0.8769 0.5421
S: 0.1231 0.8769 0.9579
S: 0.4484 0.5516 0.7500
S: 0.5516 0.4484 0.2500
S: 0.8769 0.1231 0.0421
S: 0.8769 0.1231 0.4579



Version B
An optimized crystal structure of LiZrTlS3, computed with GGA-PBE.

Unit cell a=7.9113 b=3.8153 c=9.7480 alpha=90.00 beta=109.59 gamma=90.00
Fractional coordinates of all 12 atoms:
Li: 0.0685 0.2500 0.1006
Li: 0.9315 0.7500 0.8994
Zr: 0.3096 0.7500 0.3462
Zr: 0.6904 0.2500 0.6538
Tl: 0.2662 0.2500 0.8036
Tl: 0.7338 0.7500 0.1964
S: 0.0959 0.2500 0.3526
S: 0.2358 0.7500 0.0747
S: 0.4515 0.7500 0.6322
S: 0.5485 0.2500 0.3678
S: 0.7642 0.2500 0.9253
S: 0.9041 0.7500 0.6474



Q: Which of them is the most stable? A: version A.



Version A
An optimized crystal structure of LiTmZnS3, computed with GGA-PBE.

Unit cell a=11.5539 b=3.8104 c=10.9053 alpha=90.00 beta=90.00 gamma=90.00
Fractional coordinates of all 24 atoms:
Li: 0.1160 0.2500 0.0198
Li: 0.3840 0.7500 0.5198
Li: 0.6160 0.2500 0.4802
Li: 0.8840 0.7500 0.9802
Tm: 0.0446 0.2500 0.6742
Tm: 0.4554 0.7500 0.1742
Tm: 0.5446 0.2500 0.8258
Tm: 0.9554 0.7500 0.3258
Zn: 0.2364 0.2500 0.2877
Zn: 0.2636 0.7500 0.7877
Zn: 0.7364 0.2500 0.2123
Zn: 0.7636 0.7500 0.7123
S: 0.0711 0.7500 0.8561
S: 0.0877 0.2500 0.4238
S: 0.2211 0.7500 0.1585
S: 0.2789 0.2500 0.6585
S: 0.4123 0.7500 0.9238
S: 0.4289 0.2500 0.3561
S: 0.5711 0.7500 0.6439
S: 0.5877 0.2500 0.0762
S: 0.7211 0.7500 0.3415
S: 0.7789 0.2500 0.8415
S: 0.9123 0.7500 0.5762
S: 0.9289 0.2500 0.1439



Version B
An optimized crystal structure of LiTmZnS3, computed with GGA-PBE.

Unit cell a=6.4165 b=6.4165 c=10.4459 alpha=90.00 beta=90.00 gamma=145.57
Fractional coordinates of all 12 atoms:
Li: 0.2377 0.7623 0.7500
Li: 0.7623 0.2377 0.2500
Tm: 0.0000 0.0000 0.0000
Tm: 0.0000 0.0000 0.5000
Zn: 0.4733 0.5267 0.2500
Zn: 0.5267 0.4733 0.7500
S: 0.0904 0.9096 0.2500
S: 0.3597 0.6403 0.0749
S: 0.3597 0.6403 0.4251
S: 0.6403 0.3597 0.5749
S: 0.6403 0.3597 0.9251
S: 0.9096 0.0904 0.7500



Q: Which of them is the most stable? A: version A.